(a)
Entry from Alexandria via LeMat-Bulk: Si2Ir2Pt after structural relaxation (PBE).

Cell: 7.1645 7.1645 2.7737 Å, 90.00 90.00 90.00°
Closest atoms and distances in Å follow each position.
Positions (direct):
Si (0.6550, 0.8450, 0.5000)  6 Ir 2.48-2.54, 2 Si 2.77
Si (0.1550, 0.6550, 0.5000)  6 Ir 2.48-2.54, 2 Si 2.77
Si (0.8450, 0.3450, 0.5000)  6 Ir 2.48-2.54, 2 Si 2.77
Si (0.3450, 0.1550, 0.5000)  6 Ir 2.48-2.54, 2 Si 2.77
Ir (0.3577, 0.8577, 0.0000)  6 Si 2.48-2.54, 2 Pt 2.76, 2 Ir 2.77
Ir (0.8577, 0.6423, 0.0000)  6 Si 2.48-2.54, 2 Pt 2.76, 2 Ir 2.77
Ir (0.6423, 0.1423, 0.0000)  6 Si 2.48-2.54, 2 Pt 2.76, 2 Ir 2.77
Ir (0.1423, 0.3577, 0.0000)  6 Si 2.48-2.54, 2 Pt 2.76, 2 Ir 2.77
Pt (0.0000, 0.0000, 0.0000)  4 Ir 2.76, 2 Pt 2.77, 8 Si 3.04
Pt (0.5000, 0.5000, 0.0000)  4 Ir 2.76, 2 Pt 2.77, 8 Si 3.04

=====

(b)
Entry from Alexandria via LeMat-Bulk: Si2Ir2Pt after structural relaxation (PBE).

Cell: 7.0764 7.0764 2.8076 Å, 90.00 90.00 90.00°
Closest atoms and distances in Å follow each position.
Positions (direct):
Ir (0.1431, 0.6431, 0.5000)  6 Si 2.48-2.52
Ir (0.8569, 0.3569, 0.5000)  6 Si 2.48-2.52
Ir (0.3569, 0.1431, 0.5000)  6 Si 2.48-2.52
Ir (0.6431, 0.8569, 0.5000)  6 Si 2.48-2.52
Pt (0.0000, 0.0000, 0.0000)  4 Si 2.68, 2 Pt 2.81
Pt (0.5000, 0.5000, 0.0000)  4 Si 2.68, 2 Pt 2.81
Si (0.3468, 0.8468, 0.0000)  6 Ir 2.48-2.52, 2 Pt 2.68
Si (0.8468, 0.6532, 0.0000)  6 Ir 2.48-2.52, 2 Pt 2.68
Si (0.6532, 0.1532, 0.0000)  6 Ir 2.48-2.52, 2 Pt 2.68
Si (0.1532, 0.3468, 0.0000)  6 Ir 2.48-2.52, 2 Pt 2.68

=====

(b) comes first in stability; the runner-up is 0.026 eV/atom higher.

=====

(a)
Entry from Alexandria via LeMat-Bulk: ZnSi2IrPt after structural relaxation (PBE).

Cell: 4.4016 4.6095 4.4016 Å, 90.00 90.00 90.00°
Closest atoms and distances in Å follow each position.
Positions (direct):
Ir (0.5000, 0.5000, 0.5000)  4 Pt 3.11, 8 Si 3.19
Zn (0.0000, 0.0000, 0.0000)  4 Si 2.20, 2 Pt 2.30
Pt (0.0000, 0.5000, 0.0000)  2 Zn 2.30
Si (0.0000, 0.0000, 0.5000)  2 Zn 2.20
Si (0.5000, 0.0000, 0.0000)  2 Zn 2.20

=====

(b)
Entry from Alexandria via LeMat-Bulk: ZnSi2IrPt after structural relaxation (PBE).

Cell: 4.4759 5.2429 4.4759 Å, 90.00 90.00 90.00°
Closest atoms and distances in Å follow each position.
Positions (direct):
Zn (0.5000, 0.5000, 0.5000)  4 Ir 3.16, 8 Si 3.45
Si (0.0000, 0.0000, 0.5000)  2 Pt 2.24
Si (0.5000, 0.0000, 0.0000)  2 Pt 2.24
Pt (0.0000, 0.0000, 0.0000)  4 Si 2.24
Ir (0.0000, 0.5000, 0.0000)  2 Pt 2.62

=====

(b) comes first in stability; the runner-up is 0.327 eV/atom higher.

=====

(a)
Entry from Alexandria via LeMat-Bulk: SrIr2Pt after structural relaxation (PBE).

Cell: 9.7743 9.7743 9.7743 Å, 17.15 17.15 17.15°
Closest atoms and distances in Å follow each position.
Positions (direct):
Pt (0.2500, 0.2500, 0.2500)  6 Ir 2.74, 6 Pt 2.91
Ir (0.9916, 0.9916, 0.9916)  3 Pt 2.74, 6 Ir 2.91
Ir (0.5084, 0.5084, 0.5084)  3 Pt 2.74, 6 Ir 2.91
Sr (0.7500, 0.7500, 0.7500)  6 Sr 2.91, 6 Ir 3.14

=====

(b)
Entry from Alexandria via LeMat-Bulk: SrIr2Pt after structural relaxation (PBE).

Cell: 2.9401 2.9401 8.4205 Å, 90.00 90.00 89.98°
Closest atoms and distances in Å follow each position.
Positions (direct):
Ir (0.0000, 0.0000, 0.4598)  4 Pt 2.73, 4 Ir 2.94
Ir (0.0000, 0.0000, 0.0402)  4 Pt 2.73, 4 Ir 2.94
Pt (0.5000, 0.5000, 0.2500)  8 Ir 2.73, 4 Pt 2.94
Sr (0.5000, 0.5000, 0.7500)  4 Sr 2.94, 8 Ir 3.21

=====

(c)
Entry from Alexandria via LeMat-Bulk: SrIr2Pt after structural relaxation (PBE).

Cell: 4.1849 2.8509 6.7036 Å, 77.80 90.00 90.00°
Closest atoms and distances in Å follow each position.
Positions (direct):
Ir (0.0000, 0.0172, 0.0897)  6 Ir 2.64-2.85, 2 Pt 2.84
Ir (0.5000, 0.4594, 0.2055)  6 Ir 2.64-2.85, 2 Pt 2.69
Pt (0.0000, 0.3306, 0.4640)  4 Ir 2.69-2.84, 2 Pt 2.85
Sr (0.5000, 0.6928, 0.7407)  2 Sr 2.85, 1 Ir 3.05, 4 Pt 3.11

=====

(c) comes first in stability; the runner-up is 0.207 eV/atom higher.

=====

(a)
Entry from Alexandria via LeMat-Bulk: SrIr2Pt after structural relaxation (PBE).

Cell: 2.8838 5.0297 5.9408 Å, 54.57 90.00 90.00°
Closest atoms and distances in Å follow each position.
Positions (direct):
Ir (0.5000, 0.5000, 0.0000)  6 Ir 2.88-2.90, 4 Sr 2.93, 2 Pt 2.97
Ir (0.0000, 0.0000, 0.0000)  6 Ir 2.88-2.90, 4 Pt 2.93, 2 Sr 2.97
Pt (0.5000, 0.5000, 0.5000)  2 Pt 2.88, 4 Sr 2.90, 6 Ir 2.93-2.97
Sr (0.0000, 0.0000, 0.5000)  2 Sr 2.88, 4 Pt 2.90, 6 Ir 2.93-2.97

=====

(b)
Entry from Alexandria via LeMat-Bulk: SrIr2Pt after structural relaxation (PBE).

Cell: 4.9619 4.9619 5.6451 Å, 81.15 81.15 33.76°
Closest atoms and distances in Å follow each position.
Positions (direct):
Ir (0.9891, 0.9891, 0.0658)  2 Ir 2.57, 3 Pt 2.75-2.84
Ir (0.5109, 0.5109, 0.4342)  2 Ir 2.57, 3 Pt 2.75-2.84
Sr (0.7500, 0.7500, 0.7500)  2 Sr 2.88, 6 Ir 3.10-3.16, 4 Pt 3.17
Pt (0.2500, 0.2500, 0.2500)  6 Ir 2.75-2.84, 2 Pt 2.88

=====

(c)
Entry from Alexandria via LeMat-Bulk: SrIr2Pt after structural relaxation (PBE).

Cell: 4.1168 4.1168 4.2456 Å, 90.00 90.00 90.00°
Closest atoms and distances in Å follow each position.
Positions (direct):
Sr (0.0000, 0.5000, 0.5000)  4 Pt 2.91, 8 Ir 2.96
Ir (0.0000, 0.0000, 0.0000)  4 Ir 2.91, 4 Sr 2.96, 4 Pt 2.96
Ir (0.5000, 0.5000, 0.0000)  4 Ir 2.91, 4 Pt 2.96, 4 Sr 2.96
Pt (0.5000, 0.0000, 0.5000)  4 Sr 2.91, 8 Ir 2.96

=====

(d)
Entry from Alexandria via LeMat-Bulk: SrIr2Pt after structural relaxation (PBE).

Cell: 4.6346 4.6346 9.7024 Å, 76.18 76.18 90.00°
Closest atoms and distances in Å follow each position.
Positions (direct):
Sr (0.5000, 0.5000, 0.0000)  4 Ir 3.22, 4 Pt 3.28
Sr (0.2500, 0.7500, 0.5000)  4 Ir 3.22, 4 Pt 3.28
Ir (0.9538, 0.6250, 0.2500)  2 Ir 2.43, 2 Pt 2.59
Ir (0.8750, 0.0462, 0.7500)  2 Ir 2.43, 2 Pt 2.59
Ir (0.7962, 0.1250, 0.2500)  2 Ir 2.43, 2 Pt 2.59
Ir (0.3750, 0.2038, 0.7500)  2 Ir 2.43, 2 Pt 2.59
Pt (0.7500, 0.2500, 0.5000)  4 Ir 2.59
Pt (0.0000, 0.0000, 0.0000)  4 Ir 2.59

=====

(d) comes first in stability; the runner-up is 0.051 eV/atom higher.

=====

(a)
Entry from Alexandria via LeMat-Bulk: SrIr2Pt after structural relaxation (PBE).

Cell: 5.1627 5.1627 5.1627 Å, 132.80 132.80 68.97°
Closest atoms and distances in Å follow each position.
Positions (direct):
Pt (0.2500, 0.7500, 0.5000)  4 Sr 2.92, 8 Ir 2.97
Ir (0.0000, 0.0000, 0.0000)  4 Ir 2.92, 4 Pt 2.97, 4 Sr 2.97
Ir (0.5000, 0.5000, 0.0000)  4 Ir 2.92, 4 Pt 2.97, 4 Sr 2.97
Sr (0.7500, 0.2500, 0.5000)  4 Pt 2.92, 8 Ir 2.97

=====

(b)
Entry from Alexandria via LeMat-Bulk: SrIr2Pt after structural relaxation (PBE).

Cell: 5.1178 5.1178 2.8759 Å, 90.00 90.00 110.59°
Closest atoms and distances in Å follow each position.
Positions (direct):
Ir (0.5000, 0.5000, 0.0000)  4 Ir 2.88-2.91, 4 Sr 2.94, 4 Pt 2.94
Ir (0.0000, 0.0000, 0.0000)  4 Ir 2.88-2.91, 4 Pt 2.94, 4 Sr 2.94
Pt (0.5000, 0.0000, 0.5000)  2 Pt 2.88, 2 Sr 2.91, 8 Ir 2.94
Sr (0.0000, 0.5000, 0.5000)  2 Sr 2.88, 2 Pt 2.91, 8 Ir 2.94

=====

(b) comes first in stability; the runner-up is 0.116 eV/atom higher.

=====

(a)
Entry from Alexandria via LeMat-Bulk: SrIr2Pt after structural relaxation (PBE).

Cell: 2.8563 3.7715 7.1475 Å, 90.00 90.00 90.00°
Closest atoms and distances in Å follow each position.
Positions (direct):
Pt (0.0000, 0.0000, 0.4552)  5 Ir 2.73-2.89, 2 Pt 2.86
Sr (0.5000, 0.5000, 0.7481)  2 Sr 2.86, 4 Pt 3.16
Ir (0.0000, 0.0000, 0.0729)  6 Ir 2.60-2.86, 1 Pt 2.73
Ir (0.5000, 0.5000, 0.2238)  6 Ir 2.60-2.86, 4 Pt 2.89

=====

(b)
Entry from Alexandria via LeMat-Bulk: SrIr2Pt after structural relaxation (PBE).

Cell: 4.7209 4.7209 6.2076 Å, 81.28 81.28 35.51°
Closest atoms and distances in Å follow each position.
Positions (direct):
Ir (0.2527, 0.2527, 0.2110)  5 Ir 2.57-2.88, 2 Pt 2.82
Ir (0.9906, 0.9906, 0.0943)  5 Ir 2.57-2.88, 2 Pt 2.66
Pt (0.5104, 0.5104, 0.4481)  5 Ir 2.66-2.94, 2 Pt 2.88
Sr (0.7463, 0.7463, 0.7466)  2 Sr 2.88, 3 Pt 3.03-3.12

=====

(c)
Entry from Alexandria via LeMat-Bulk: SrIr2Pt after structural relaxation (PBE).

Cell: 4.7045 4.7045 4.7045 Å, 60.00 60.00 60.00°
Closest atoms and distances in Å follow each position.
Positions (direct):
Ir (0.7500, 0.7500, 0.7500)  4 Sr 2.88, 4 Pt 2.88
Ir (0.2500, 0.2500, 0.2500)  4 Pt 2.88, 4 Sr 2.88
Pt (0.5000, 0.5000, 0.5000)  8 Ir 2.88
Sr (0.0000, 0.0000, 0.0000)  8 Ir 2.88

=====

(d)
Entry from Alexandria via LeMat-Bulk: SrIr2Pt after structural relaxation (PBE).

Cell: 2.8648 4.9600 5.0544 Å, 90.00 90.00 90.00°
Closest atoms and distances in Å follow each position.
Positions (direct):
Ir (0.5000, 0.5000, 0.0000)  6 Ir 2.86, 4 Sr 2.90
Ir (0.0000, 0.0000, 0.0000)  6 Ir 2.86, 4 Pt 2.90
Pt (0.5000, 0.0000, 0.5000)  4 Sr 2.86, 2 Pt 2.86, 4 Ir 2.90
Sr (0.0000, 0.5000, 0.5000)  4 Pt 2.86, 2 Sr 2.86, 4 Ir 2.90

=====

(a) comes first in stability; the runner-up is 0.058 eV/atom higher.

=====

(a)
Entry from Alexandria via LeMat-Bulk: SrIr2Pt after structural relaxation (PBE).

Cell: 4.7167 4.7167 4.7167 Å, 60.00 60.00 60.00°
Closest atoms and distances in Å follow each position.
Positions (direct):
Sr (0.7500, 0.7500, 0.7500)  4 Ir 2.89, 4 Pt 2.89
Ir (0.0000, 0.0000, 0.0000)  4 Ir 2.89, 4 Sr 2.89
Ir (0.2500, 0.2500, 0.2500)  4 Ir 2.89, 4 Pt 2.89
Pt (0.5000, 0.5000, 0.5000)  4 Sr 2.89, 4 Ir 2.89

=====

(b)
Entry from Alexandria via LeMat-Bulk: SrIr2Pt after structural relaxation (PBE).

Cell: 5.2289 5.2289 5.2289 Å, 137.32 127.49 69.90°
Closest atoms and distances in Å follow each position.
Positions (direct):
Pt (0.5233, 0.5233, 0.0000)  6 Ir 2.80-3.03, 4 Sr 2.99-3.06
Sr (0.2444, 0.7444, 0.5000)  4 Pt 2.99-3.06, 8 Ir 3.00-3.03
Ir (0.7637, 0.2637, 0.5000)  2 Ir 2.59, 2 Pt 2.80
Ir (0.9686, 0.9686, 0.0000)  2 Ir 2.59

=====

(b) comes first in stability; the runner-up is 0.147 eV/atom higher.

=====

(a)
Entry from Alexandria via LeMat-Bulk: Sr2Ir2Pt after structural relaxation (PBE).

Cell: 5.9844 5.9844 5.6022 Å, 57.72 57.72 90.00°
Closest atoms and distances in Å follow each position.
Positions (direct):
Sr (0.2500, 0.7500, 0.5000)  4 Ir 3.06
Sr (0.7500, 0.2500, 0.5000)  4 Ir 3.06
Ir (0.6625, 0.6625, 0.6750)  1 Ir 2.39, 1 Pt 2.48
Ir (0.3375, 0.3375, 0.3250)  1 Ir 2.39, 1 Pt 2.48
Pt (0.0000, 0.0000, 0.0000)  2 Ir 2.48

=====

(b)
Entry from Alexandria via LeMat-Bulk: Sr2Ir2Pt after structural relaxation (PBE).

Cell: 6.8832 6.8832 4.7640 Å, 90.00 90.00 90.00°
Closest atoms and distances in Å follow each position.
Positions (direct):
Pt (0.0000, 0.0000, 0.0000)  4 Ir 2.72
Pt (0.5000, 0.5000, 0.0000)  4 Ir 2.72
Sr (0.6812, 0.8188, 0.5000)  6 Ir 3.04-3.20
Sr (0.8188, 0.3188, 0.5000)  6 Ir 3.04-3.20
Sr (0.1812, 0.6812, 0.5000)  6 Ir 3.04-3.20
Sr (0.3188, 0.1812, 0.5000)  6 Ir 3.04-3.20
Ir (0.3748, 0.8748, 0.0000)  1 Ir 2.44, 2 Pt 2.72
Ir (0.1252, 0.3748, 0.0000)  1 Ir 2.44, 2 Pt 2.72
Ir (0.8748, 0.6252, 0.0000)  1 Ir 2.44, 2 Pt 2.72
Ir (0.6252, 0.1252, 0.0000)  1 Ir 2.44, 2 Pt 2.72

=====

(b) comes first in stability; the runner-up is 0.306 eV/atom higher.

=====

(a)
Entry from Alexandria via LeMat-Bulk: Tb4Ir2Pt after structural relaxation (PBE).

Cell: 7.5100 7.5086 7.5099 Å, 109.39 109.40 109.62°
Closest atoms and distances in Å follow each position.
Positions (direct):
Tb (0.4993, 0.6200, 0.7508)  2 Ir 2.79-2.82, 1 Pt 2.85
Tb (0.8690, 0.7486, 0.2490)  2 Ir 2.79-2.82, 1 Pt 2.85
Tb (0.9983, 0.6191, 0.7490)  2 Ir 2.79-2.82, 1 Pt 2.85
Tb (0.3810, 0.1299, 0.3796)  2 Ir 2.79-2.82, 1 Pt 2.85
Tb (0.3799, 0.1308, 0.8795)  2 Ir 2.79-2.82, 1 Pt 2.85
Tb (0.8703, 0.2496, 0.2510)  2 Ir 2.79-2.82, 1 Pt 2.85
Tb (0.2515, 0.5006, 0.1206)  2 Ir 2.79-2.82, 1 Pt 2.85
Tb (0.7506, 0.0013, 0.6207)  2 Ir 2.79-2.82, 1 Pt 2.85
Ir (0.7526, 0.3749, 0.8777)  4 Tb 2.79-2.82
Ir (0.1249, 0.2471, 0.6222)  4 Tb 2.79-2.82
Ir (0.4974, 0.8751, 0.1222)  4 Tb 2.79-2.82
Ir (0.6249, 0.5026, 0.3776)  4 Tb 2.79-2.82
Pt (0.0004, 0.0003, 0.0002)  4 Tb 2.85
Pt (0.2499, 0.7500, 0.4999)  4 Tb 2.85

=====

(b)
Entry from Alexandria via LeMat-Bulk: Tb4Ir2Pt after structural relaxation (PBE).

Cell: 4.8599 4.8599 8.4404 Å, 73.27 73.27 60.00°
Closest atoms and distances in Å follow each position.
Positions (direct):
Tb (0.8736, 0.8736, 0.3793)  4 Ir 2.94-2.98, 1 Pt 3.02
Tb (0.6232, 0.6232, 0.1304)  4 Ir 2.97-3.04, 3 Pt 2.99
Tb (0.1264, 0.1264, 0.6207)  4 Ir 2.94-2.98, 1 Pt 3.02
Tb (0.3768, 0.3768, 0.8696)  4 Ir 2.97-3.04, 3 Pt 2.99
Pt (0.0000, 0.0000, 0.0000)  8 Tb 2.99-3.02
Ir (0.2495, 0.2495, 0.2514)  8 Tb 2.94-3.04
Ir (0.7505, 0.7505, 0.7486)  8 Tb 2.94-3.04

=====

(b) comes first in stability; the runner-up is 0.010 eV/atom higher.

=====

(a)
Entry from Alexandria via LeMat-Bulk: Tb3IrPt after structural relaxation (PBE).

Cell: 4.8325 7.7530 8.3760 Å, 122.59 90.03 108.17°
Closest atoms and distances in Å follow each position.
Positions (direct):
Tb (0.5844, 0.1683, 0.7543)  3 Ir 2.94-3.06, 2 Pt 2.98-2.99
Tb (0.2513, 0.5019, 0.7558)  3 Ir 2.95-2.96, 3 Pt 3.01-3.02
Tb (0.4156, 0.8317, 0.2457)  3 Ir 2.94-3.06, 2 Pt 2.98-2.99
Tb (0.7487, 0.4981, 0.2442)  3 Ir 2.95-2.96, 3 Pt 3.01-3.02
Tb (0.9197, 0.8386, 0.7561)  2 Ir 2.94-2.97, 3 Pt 2.97-3.12
Tb (0.0803, 0.1614, 0.2439)  2 Ir 2.94-2.97, 3 Pt 2.97-3.12
Pt (0.3377, 0.6749, 0.5046)  8 Tb 2.97-3.12
Pt (0.6623, 0.3251, 0.4954)  8 Tb 2.97-3.12
Ir (0.1640, 0.3277, 0.9976)  8 Tb 2.94-3.06
Ir (0.8360, 0.6723, 0.0024)  8 Tb 2.94-3.06

=====

(b)
Entry from Alexandria via LeMat-Bulk: Tb3IrPt after structural relaxation (PBE).

Cell: 4.1051 6.9704 8.8450 Å, 90.00 90.00 90.00°
Closest atoms and distances in Å follow each position.
Positions (direct):
Tb (0.0000, 0.0000, 0.9410)  2 Pt 2.81, 1 Ir 2.96
Tb (0.5000, 0.2619, 0.6663)  3 Ir 2.80-2.93, 2 Pt 3.06
Tb (0.5000, 0.7381, 0.6663)  3 Ir 2.80-2.93, 2 Pt 3.06
Tb (0.5000, 0.5000, 0.0590)  2 Pt 2.81, 1 Ir 2.96
Tb (0.0000, 0.7619, 0.3337)  3 Ir 2.80-2.93, 2 Pt 3.06
Tb (0.0000, 0.2381, 0.3337)  3 Ir 2.80-2.93, 2 Pt 3.06
Pt (0.5000, 0.0000, 0.1581)  6 Tb 2.81-3.06
Pt (0.0000, 0.5000, 0.8419)  6 Tb 2.81-3.06
Ir (0.5000, 0.5000, 0.3931)  7 Tb 2.80-2.96
Ir (0.0000, 0.0000, 0.6069)  7 Tb 2.80-2.96

=====

(a) comes first in stability; the runner-up is 0.051 eV/atom higher.

=====

(a)
Entry from Alexandria via LeMat-Bulk: TbIrPt after structural relaxation (PBE).

Cell: 5.4104 5.4104 5.4104 Å, 89.62 120.30 120.14°
Closest atoms and distances in Å follow each position.
Positions (direct):
Ir (0.0000, 0.5000, 0.5000)  2 Ir 2.70, 4 Pt 2.71
Ir (0.5000, 0.0000, 0.5000)  2 Ir 2.70, 4 Pt 2.71
Tb (0.7500, 0.8765, 0.1265)  6 Pt 3.16-3.19, 6 Ir 3.17, 4 Tb 3.29-3.33
Tb (0.2500, 0.1235, 0.8735)  6 Pt 3.16-3.19, 6 Ir 3.17, 4 Tb 3.29-3.33
Pt (0.5000, 0.5000, 0.5000)  2 Pt 2.69, 4 Ir 2.71
Pt (0.0000, 0.5000, 0.0000)  2 Pt 2.69, 4 Ir 2.71

=====

(b)
Entry from Alexandria via LeMat-Bulk: TbIrPt after structural relaxation (PBE).

Cell: 4.1152 4.1152 5.3857 Å, 67.54 67.54 60.00°
Closest atoms and distances in Å follow each position.
Positions (direct):
Tb (0.3282, 0.3282, 0.0154)  4 Pt 2.84-3.10, 4 Ir 2.85-3.09
Pt (0.1322, 0.1322, 0.6035)  3 Ir 2.53
Ir (0.5250, 0.5250, 0.4250)  3 Pt 2.53

=====

(a) comes first in stability; the runner-up is 0.756 eV/atom higher.